(A)
Entry from the Alexandria database: a geometry-optimized CdPSe2 structure (PBE-GGA).

abc: 7.123 7.123 7.123
angles: 151.01 149.89 42.29
Fractional coordinates of all 4 atoms:
Cd (0.000, 0.000, 0.000)
P (0.757, 0.257, 0.500)
Se (0.318, 0.818, 0.500)
Se (0.591, 0.591, 0.000)

D(E_F) = 1.81 states/eV per cell
SG = No. 44


(B)
Entry from the Alexandria database: a geometry-optimized CdPSe2 structure (PBE-GGA).

abc: 4.834 4.834 4.778
angles: 108.25 108.25 112.04
Fractional coordinates of all 4 atoms:
Cd (0.000, 0.000, 0.000)
P (0.500, 0.500, 0.000)
Se (0.000, 0.500, 0.500)
Se (0.500, 0.000, 0.500)

D(E_F) = 0.63 states/eV per cell
SG = No. 12


Tell me which of them is the most stable. Sure, it is (B).